# BaBeOs3, optimized geometry, DFT PBE
data_BaBeOs3
_chemical_formula_sum 'Ba1 Be1 Os3'
_cell_length_a 4.4466
_cell_length_b 4.4466
_cell_length_c 4.4466
_cell_angle_alpha 90.00
_cell_angle_beta 90.00
_cell_angle_gamma 90.00
_space_group_name_H-M_alt 'P m -3 m'
_space_group_IT_number 221
_space_group_name_Hall '-P 4 2 3'
loop_
_atom_site_label
_atom_site_type_symbol
_atom_site_fract_x
_atom_site_fract_y
_atom_site_fract_z
Ba1 Ba 0.0000 0.0000 0.0000
Be1 Be 0.5000 0.5000 0.5000
Os1 Os 0.0000 0.5000 0.5000
# * energy above the most stable polymorph in this dataset: 0 meV/atom